## CoAsBr (PBE)

Data for CoAsBr after structural relaxation.

Values from the calculation:
E_form (uncorrected)	266	meV per atom
energy relative to the lowest polymorph listed for this composition	8.28	kcal/mol of atoms
size of the total moment	0.720	Bohr magnetons per cell

Structure (extended XYZ):
```
3
Lattice="7.372 0.221 0.019 6.043 4.228 -0.019 -6.712 -2.210 2.111" Properties=species:S:1:pos:R:3 pbc="T T T"
Br 9.611 3.188 0.000
Co 4.598 1.525 0.000
As 12.619 4.185 0.000
```

***

## Co2AsBr (PBE)

Data for Co2AsBr after structural relaxation.

Values from the calculation:
E_form (uncorrected)	179	meV per atom
energy relative to the lowest polymorph listed for this composition	2.38	kcal/mol of atoms
size of the total moment	3.626	Bohr magnetons per cell

Structure (extended XYZ):
```
4
Lattice="3.231 -0.009 0.000 0.023 3.231 0.000 0.000 0.000 7.394" Properties=species:S:1:pos:R:3 pbc="T T T"
Br 1.627 1.611 6.384
Co 1.627 1.611 1.552
Co 0.000 0.000 0.419
As 0.000 0.000 2.736
```

***

## Co2AsBr (PBE)

Data for Co2AsBr after structural relaxation.

Values from the calculation:
E_form (uncorrected)	204	meV per atom
energy relative to the lowest polymorph listed for this composition	2.96	kcal/mol of atoms
size of the total moment	1.978	Bohr magnetons per cell

Structure (extended XYZ):
```
4
Lattice="6.790 0.073 0.032 5.138 4.440 -0.032 -6.005 -2.150 2.332" Properties=species:S:1:pos:R:3 pbc="T T T"
As 6.435 2.434 0.000
Co 0.145 0.055 0.000
Co 2.429 -0.269 1.182
Br 2.880 2.398 1.150
```

***

## Co2AsBr (PBE)

Data for Co2AsBr after structural relaxation.

Values from the calculation:
E_form (uncorrected)	1005	meV per atom
energy relative to the lowest polymorph listed for this composition	21.42	kcal/mol of atoms
size of the total moment	2.881	Bohr magnetons per cell

Structure (extended XYZ):
```
4
Lattice="4.490 0.000 0.000 2.245 3.888 0.000 2.245 1.296 3.666" Properties=species:S:1:pos:R:3 pbc="T T T"
As 4.490 2.592 1.833
Co 0.000 0.000 0.000
Co 2.245 1.296 0.916
Br 6.735 3.888 2.749
```

***

## Co2AsBr (PBE)

Data for Co2AsBr after structural relaxation.

Values from the calculation:
E_form (uncorrected)	76	meV per atom
energy relative to the lowest polymorph listed for this composition	0.00	kcal/mol of atoms
size of the total moment	2.493	Bohr magnetons per cell

Structure (extended XYZ):
```
4
Lattice="-2.165 -2.824 -0.582 1.209 -0.229 -3.388 4.432 -3.775 1.825" Properties=species:S:1:pos:R:3 pbc="T T T"
Co -0.040 -2.000 -1.319
Co 1.647 -0.702 -2.722
Br 3.771 -4.844 -1.696
As 2.128 -1.512 -0.578
```

***

## CoAs2Br2 (PBE)

Data for CoAs2Br2 after structural relaxation.

Values from the calculation:
E_form (uncorrected)	807	meV per atom
size of the total moment	1.046	Bohr magnetons per cell

Structure (extended XYZ):
```
5
Lattice="-2.839 2.839 3.802 2.839 -2.839 3.802 2.839 2.839 -3.802" Properties=species:S:1:pos:R:3 pbc="T T T"
As 2.839 0.000 1.901
As 0.000 2.839 1.901
Co 0.000 0.000 0.000
Br 0.000 0.000 5.378
Br 0.000 0.000 2.227
```

***

## CoAs4Br (PBE)

Data for CoAs4Br after structural relaxation.

Values from the calculation:
E_form (uncorrected)	663	meV per atom
size of the total moment	2.083	Bohr magnetons per cell

Structure (extended XYZ):
```
6
Lattice="-3.738 -2.806 3.497 -4.880 -2.319 -2.206 -0.563 -5.797 -0.381" Properties=species:S:1:pos:R:3 pbc="T T T"
Br -6.886 -8.191 0.682
As -3.600 -4.283 0.356
As -5.706 -5.284 -0.595
As -5.213 -5.493 1.865
As -3.843 -6.784 0.192
Co 0.000 0.000 0.000
```

***

## CoAsBr (PBE)

Data for CoAsBr after structural relaxation.

Values from the calculation:
E_form (uncorrected)	-57	meV per atom
energy relative to the lowest polymorph listed for this composition	0.83	kcal/mol of atoms
size of the total moment	0.097	Bohr magnetons per cell

Structure (extended XYZ):
```
3
Lattice="-1.028 2.630 2.138 -0.071 -3.349 1.151 5.147 0.521 1.833" Properties=species:S:1:pos:R:3 pbc="T T T"
Co 3.188 -0.994 2.755
Br 1.426 0.853 2.570
As 4.582 0.463 1.632
```

***

Please write out number 1 again, unchanged.
## CoAsBr (PBE)

Data for CoAsBr after structural relaxation.

Values from the calculation:
E_form (uncorrected)	266	meV per atom
energy relative to the lowest polymorph listed for this composition	8.28	kcal/mol of atoms
size of the total moment	0.720	Bohr magnetons per cell

Structure (extended XYZ):
```
3
Lattice="7.372 0.221 0.019 6.043 4.228 -0.019 -6.712 -2.210 2.111" Properties=species:S:1:pos:R:3 pbc="T T T"
Br 9.611 3.188 0.000
Co 4.598 1.525 0.000
As 12.619 4.185 0.000
```